[1]
The following is a DFT calculation (meta-GGA SCAN) of a crystal of Ba2TlPt relaxed with PBEsol.

Computed properties:
Distance to the lowest polymorph of the same formula: 0.018 eV per atom

Lattice parameters (Å, degrees): 4.6691 4.8667 6.3988 90.00 111.40 90.00
Sites, in units of the cell vectors:
Tl 0.6888 0.5000 0.3777
Pt 0.8105 0.0000 0.6209
Ba 0.1095 0.0000 0.2190
Ba 0.3932 0.5000 0.7864

***

[2]
The following is a DFT calculation (meta-GGA SCAN) of a crystal of BaTlPt relaxed with PBEsol.

Lattice parameters (Å, degrees): 4.4380 4.7503 4.7503 120.00 90.00 90.00
Sites, in units of the cell vectors:
Pt 0.4986 0.3333 0.6667
Tl 0.5007 0.6667 0.3333
Ba 0.0006 0.0000 0.0000

***

[3]
The following is a DFT calculation (meta-GGA SCAN) of a crystal of BaTlPt2 relaxed with PBEsol.

Lattice parameters (Å, degrees): 4.6889 4.6889 6.0515 67.21 67.21 60.00
Sites, in units of the cell vectors:
Pt 0.3058 0.3058 0.0827
Pt 0.6942 0.6942 0.9173
Tl 0.0000 0.0000 0.0000
Ba 0.5000 0.5000 0.5000

***

[4]
The following is a DFT calculation (meta-GGA SCAN) of a crystal of BaTl2Pt relaxed with PBEsol.

Lattice parameters (Å, degrees): 3.8591 4.8884 6.5318 111.98 90.00 90.00
Sites, in units of the cell vectors:
Tl 0.0000 0.1781 0.3563
Pt 0.5000 0.3512 0.7024
Ba 0.0000 0.8878 0.7756
Tl 0.5000 0.5831 0.1662

***

[5]
The following is a DFT calculation (meta-GGA SCAN) of a crystal of Ba2TlPt relaxed with PBEsol.

Computed properties:
Distance to the lowest polymorph of the same formula: 0.000 eV per atom

Lattice parameters (Å, degrees): 3.9277 3.9285 8.1976 90.03 90.00 90.00
Sites, in units of the cell vectors:
Pt 0.5000 0.5000 0.5000
Ba 0.0000 0.9993 0.7177
Tl 0.5000 0.5000 0.0000
Ba 0.0000 0.0007 0.2823

***

[6]
The following is a DFT calculation (meta-GGA SCAN) of a crystal of BaTlPt2 relaxed with PBEsol.

Lattice parameters (Å, degrees): 4.5153 4.5085 6.4952 110.30 90.00 120.05
Sites, in units of the cell vectors:
Pt 0.2805 0.5611 0.8413
Ba 0.7348 0.4696 0.2032
Tl 0.5366 0.0732 0.6104
Pt 0.9480 0.8961 0.8451

***

[7]
The following is a DFT calculation (meta-GGA SCAN) of a crystal of Ba2TlPt relaxed with PBEsol.

Computed properties:
Distance to the lowest polymorph of the same formula: 0.038 eV per atom

Lattice parameters (Å, degrees): 4.3898 4.3898 9.2238 76.23 76.23 60.00
Sites, in units of the cell vectors:
Ba 0.2664 0.2664 0.2008
Pt 0.0000 0.0000 0.0000
Tl 0.5000 0.5000 0.5000
Ba 0.7336 0.7336 0.7992

***

[8]
The following is a DFT calculation (meta-GGA SCAN) of a crystal of BaTl2Pt relaxed with PBEsol.

Lattice parameters (Å, degrees): 4.7996 4.7996 6.3741 67.88 67.88 60.00
Sites, in units of the cell vectors:
Ba 0.5063 0.5063 0.4810
Tl 0.9575 0.9575 0.1275
Pt 0.3189 0.3189 0.0432
Tl 0.7172 0.7172 0.8483

***

[9]
The following is a DFT calculation (meta-GGA SCAN) of a crystal of BaTl2Pt2 relaxed with PBEsol.

Lattice parameters (Å, degrees): 4.9839 4.9839 6.2330 113.57 113.57 90.00
Sites, in units of the cell vectors:
Pt 0.2500 0.7500 0.5000
Pt 0.7500 0.2500 0.5000
Tl 0.3556 0.3556 0.7113
Tl 0.6444 0.6444 0.2887
Ba 0.0000 0.0000 0.0000

***

[10]
The following is a DFT calculation (meta-GGA SCAN) of a crystal of BaTl2Pt relaxed with PBEsol.

Lattice parameters (Å, degrees): 4.5058 5.3531 5.3531 112.15 90.00 90.00
Sites, in units of the cell vectors:
Ba 0.5000 0.5000 0.5000
Tl 0.0000 0.8188 0.1812
Pt 0.5000 0.0000 0.0000
Tl 0.0000 0.1812 0.8188

***

[11]
The following is a DFT calculation (meta-GGA SCAN) of a crystal of Ba2PtW relaxed with PBEsol.

Computed properties:
Distance to the lowest polymorph of the same formula: 0.125 eV per atom

Lattice parameters (Å, degrees): 5.4555 5.4555 5.4555 60.00 60.00 60.00
Sites, in units of the cell vectors:
Ba 0.7500 0.7500 0.7500
Ba 0.2500 0.2500 0.2500
Pt 0.5000 0.5000 0.5000
W 0.0000 0.0000 0.0000

***

[12]
The following is a DFT calculation (meta-GGA SCAN) of a crystal of BaPt2W relaxed with PBEsol.

Computed properties:
Distance to the lowest polymorph of the same formula: 0.203 eV per atom

Lattice parameters (Å, degrees): 2.9118 3.8699 7.4131 90.00 90.00 90.00
Sites, in units of the cell vectors:
Pt 0.5000 0.5000 0.2651
Ba 0.5000 0.5000 0.7650
W 0.0000 0.0000 0.4089
Pt 0.0000 0.0000 0.0610

***

Results for uncorrected energy: -56.034; -61.319; -63.594; -64.039; -56.052; -63.641; -56.014; -64.088; -65.339; -64.089; -53.832; -62.148 (in eV/atom, following the order of the records).
Results for formation enthalpy at 0 K: -239.5; -179.1; -200.7; -163.6; -246.6; -218.8; -231.9; -182.4; -197.1; -182.9; 352.5; 99.7 (in kJ/mol of formula units, following the order of the records).